Here is a relaxed structure of DyCrTe2O8 from Alexandria. Energies are from PBE with a Hubbard U.

The space group is P-3m1 (No. 164) and the conventional cell measures 6.0796, 6.0796 and 6.0590 Å, with angles of 90.00, 90.00 and 120.00 degrees. The inequivalent atoms are Dy at (0.0000, 0.0000, 0.0000), Cr at (0.0000, 0.0000, 0.5000), Te at (0.3333, 0.6667, 0.3373), O at (0.1471, 0.2942, 0.2739) and O at (0.3333, 0.6667, 0.6354).

Its crystal system is trigonal. The total energy is -75.22 eV/cell.